Density functional theory data (GGA+U) for an optimized crystal structure of Fe3Br3O.

Lattice parameters (Å, degrees): 9.2383 9.4310 9.5198 109.74 100.84 115.80
Closest atoms and distances in Å follow each position.
Fractional coordinates of all 28 atoms:
Fe  0.0000  0.0000  0.0000  4 Br 2.51-2.62, 1 Fe 2.72
Fe  0.0282  0.5439  0.5271  1 O 2.01
Fe  0.0739  0.9539  0.5368  1 O 2.24
Fe  0.1158  0.7478  0.2892  1 O 2.01
Fe  0.1538  0.2406  0.4991  2 O 2.10-2.19
Fe  0.2470  0.4967  0.3379  2 O 2.00-2.16
Fe  0.4195  0.9499  0.5601  2 O 2.03-2.11
Fe  0.6681  0.9372  0.8405  1 O 1.93
Fe  0.7169  0.8416  0.4946  2 O 2.03-2.18
Fe  0.7799  0.0918  0.3057  2 O 2.07-2.25
Fe  0.8889  0.2371  0.7076  2 O 2.08-2.12
Fe  0.9283  0.2593  0.0985  1 O 2.19
Br  0.0500  0.8391  0.7544  3 Fe 2.57-2.78
Br  0.1967  0.0245  0.2559  3 Fe 2.53-2.74
Br  0.2049  0.5114  0.7529  3 Fe 2.63-2.76
Br  0.2264  0.3127  0.0604  3 Fe 2.54-2.69
Br  0.3942  0.2178  0.7032  3 Fe 2.57-2.80
Br  0.4670  0.8102  0.2718  3 Fe 2.66-2.82
Br  0.5251  0.5805  0.5500  2 Fe 2.55-2.63
Br  0.5964  0.1113  0.0675  3 Fe 2.63-2.67
Br  0.7241  0.7967  0.0174  2 Fe 2.51-2.58
Br  0.7328  0.3221  0.5174  3 Fe 2.58-2.68
Br  0.8018  0.6286  0.3162  3 Fe 2.66-2.72
Br  0.9185  0.4668  0.9799  3 Fe 2.59-2.74
O  0.0194  0.2984  0.3457  4 Fe 2.07-2.19
O  0.2030  0.6848  0.4542  4 Fe 2.00-2.11
O  0.6620  0.0060  0.6712  3 Fe 1.93-2.12
O  0.9108  0.0709  0.5152  5 Fe 2.03-2.25

Properties
Its spin magnetization is 44.0 μB per cell. Its density of states at the Fermi level is 2.54 states/eV per cell. For the electronic total energy, the calculation gives -0.1653 hartree per atom.